## w
CaHgP2S | GGA-PBE | optimized geometry

The structure in extended XYZ format:
```
5
Lattice="5.3650 0.0000 0.0000 0.0000 5.3650 0.0000 0.0000 0.0000 5.1136" Properties=species:S:1:pos:R:3 pbc="T T T"
S 0.0000 0.0000 2.5568
P 0.0000 2.6825 0.0000
P 2.6825 0.0000 0.0000
Ca 0.0000 0.0000 0.0000
Hg 2.6825 2.6825 2.5568
```

Computed properties:
SG: P4/mmm, No. 123
Spin magnetization: 0.890 μB per formula unit
Density of states at the Fermi level: 5.70 states/eV/f.u.

## x
CaHgP2S | GGA-PBE | optimized geometry

The structure in extended XYZ format:
```
5
Lattice="-1.5413 -3.9631 2.5397 3.8289 -2.6100 -1.7491 2.8844 1.4951 4.0835" Properties=species:S:1:pos:R:3 pbc="T T T"
S 1.4422 0.7475 2.0417
P 1.9145 -1.3050 -0.8745
P -0.7707 -1.9816 1.2699
Ca 2.5860 -2.5390 2.4371
Hg 0.0000 0.0000 0.0000
```

Computed properties:
SG: P4/mmm, No. 123
Spin magnetization: 0.002 μB per formula unit
Density of states at the Fermi level: 6.48 states/eV/f.u.

Least stable: w

## w
Ca2HgPb2 | GGA-PBE | optimized geometry

The structure in extended XYZ format:
```
10
Lattice="8.0572 0.0000 0.0000 0.0000 8.0572 0.0000 0.0000 0.0000 4.7666" Properties=species:S:1:pos:R:3 pbc="T T T"
Pb 2.9160 6.9446 0.0000
Pb 6.9446 5.1412 0.0000
Pb 5.1412 1.1126 0.0000
Pb 1.1126 2.9160 0.0000
Ca 1.3394 5.3681 2.3833
Ca 5.3681 6.7178 2.3833
Ca 6.7178 2.6892 2.3833
Ca 2.6892 1.3394 2.3833
Hg 0.0000 0.0000 0.0000
Hg 4.0286 4.0286 0.0000
```

Computed properties:
SG: P4/mbm, No. 127
Spin magnetization: 0.000 μB per formula unit
Density of states at the Fermi level: 3.40 states/eV/f.u.

## x
Ca2HgPb2 | GGA-PBE | optimized geometry

The structure in extended XYZ format:
```
10
Lattice="0.8902 4.0165 -4.9273 4.4058 -4.6579 -0.3089 -7.0063 -5.4600 -1.0818" Properties=species:S:1:pos:R:3 pbc="T T T"
Ca 0.6562 -0.4920 -2.2105
Ca 0.9562 -4.9197 -1.3646
Ca -2.3665 -5.6094 -4.1075
Ca -2.6666 -1.1817 -4.9534
Hg 2.8101 -2.9486 -3.7689
Hg -4.5205 -3.1528 -2.5491
Pb 1.6745 1.7920 -4.3592
Pb -1.5907 -2.8943 -1.7519
Pb -3.3849 -7.8934 -1.9589
Pb -0.1197 -3.2071 -4.5662
```

Computed properties:
SG: C2/c, No. 15
Spin magnetization: 0.000 μB per formula unit
Density of states at the Fermi level: 2.04 states/eV/f.u.

Least stable: w

## w
Ca3Hg3Pb | GGA-PBE | optimized geometry

The structure in extended XYZ format:
```
14
Lattice="-5.7413 -4.1542 2.2045 4.6248 -3.9978 4.2082 -1.1605 4.5985 5.6449" Properties=species:S:1:pos:R:3 pbc="T T T"
Ca -0.8721 3.4505 4.2427
Ca -3.1562 -0.9239 2.5186
Ca 2.0160 -0.8459 3.5183
Ca 0.8791 -2.6295 9.5389
Ca -4.2930 -2.7076 8.5392
Ca -1.4049 -7.0039 7.8148
Hg -0.9001 -0.0232 4.6584
Hg 1.1312 -1.7425 6.4675
Hg -3.4082 -1.8110 5.5900
Hg 1.9083 -4.0387 3.6831
Hg -3.0249 -4.1132 2.7295
Hg -1.3769 -3.5302 7.3991
Pb -1.5054 2.0678 7.6266
Pb -0.7716 -5.6213 4.4309
```

Computed properties:
SG: C2/m, No. 12
Spin magnetization: 0.000 μB per formula unit
Density of states at the Fermi level: 4.33 states/eV/f.u.

## x
Ca3Hg3Pb | GGA-PBE | optimized geometry

The structure in extended XYZ format:
```
14
Lattice="-2.1469 3.0185 3.7268 -7.6068 1.1786 -5.3366 0.4245 -7.1500 6.0356" Properties=species:S:1:pos:R:3 pbc="T T T"
Ca -6.3753 -0.9920 2.6871
Ca -4.8882 2.1052 1.0352
Ca -8.3560 0.8856 0.0254
Ca -2.9538 -1.9609 1.7387
Ca -4.4410 -5.0582 3.3906
Ca -0.9732 -3.8385 4.4004
Hg -6.3781 -3.8238 1.2750
Hg -2.2398 0.7559 -0.0504
Hg -7.7814 0.5390 -3.0671
Hg -2.9510 0.8709 3.1509
Hg -7.0894 -3.7088 4.4762
Hg -1.5478 -3.4919 7.4929
Pb -5.4664 -0.8430 -0.6142
Pb -3.8628 -2.1099 5.0400
```

Computed properties:
SG: P6_3/m, No. 176
Spin magnetization: 0.000 μB per formula unit
Density of states at the Fermi level: 4.13 states/eV/f.u.

Least stable: w